Record 1
Compound: LiMg2Si
Source: Alexandria
Functional: GGA-PBE
Structure: optimized geometry

```
LiMg2Si
1.0
-0.0139 -4.5196 -2.4137
4.0149 -0.2758 -3.1713
-0.3786 1.2426 4.9462
Li Mg Si
1 2 1
direct
0.2500 0.7500 0.5000
0.0000 0.0000 0.0000
0.7500 0.2500 0.5000
0.5000 0.5000 0.0000
```

Values from the calculation:
total DFT energy (no corrections): -2.677 eV per atom
ρ: 1.92 Mg/m³
crystal system: orthorhombic
E_form (uncorrected): -0.046 eV per atom



Record 2
Compound: LiMg2Si
Source: Alexandria
Functional: GGA-PBE
Structure: optimized geometry

```
LiMg2Si
1.0
4.2122 0.0000 0.0000
0.0000 4.2122 0.0000
2.1061 2.1061 9.4091
Si Mg Li
2 4 2
direct
0.0000 0.0000 0.0000
0.7500 0.2500 0.5000
0.6330 0.1250 0.2500
0.1170 0.6250 0.2500
0.3750 0.3670 0.7500
0.8750 0.8830 0.7500
0.5000 0.5000 0.0000
0.2500 0.7500 0.5000
```

Values from the calculation:
total DFT energy (no corrections): -2.393 eV per atom
ρ: 1.66 Mg/m³
crystal system: tetragonal
E_form (uncorrected): 0.238 eV per atom



Record 3
Compound: Li3MgSi
Source: Alexandria
Functional: GGA-PBE
Structure: optimized geometry

```
Li3MgSi
1.0
4.7889 0.0000 0.0000
0.0000 4.7889 0.0000
0.0000 0.0000 4.7889
Si Mg Li
1 1 3
direct
0.5000 0.5000 0.5000
0.0000 0.0000 0.0000
0.0000 0.5000 0.0000
0.0000 0.0000 0.5000
0.5000 0.0000 0.0000
```

Values from the calculation:
total DFT energy (no corrections): -1.872 eV per atom
ρ: 1.11 Mg/m³
energy above the most stable polymorph in this dataset: 17.64 kcal/mol of atoms
crystal system: cubic
E_form (uncorrected): 0.680 eV per atom